VASP calculation (PBE) on crystalline Dy4ThMg at its relaxed geometry.

As for the formation energy: 0.044 eV per atom. The value obtained for the energy above the lowest structure with this stoichiometry is 45 meV per atom.

Cell lengths 5.414, 6.667, 6.523 Å; angles 97.42, 65.48, 66.04 degrees
Fractional positions:
Dy 0.653 0.699 0.995
Dy 0.347 0.301 0.005
Dy 0.139 0.166 0.556
Dy 0.861 0.834 0.444
Th 0.500 0.500 0.500
Mg 0.000 0.000 0.000


VASP calculation (PBE) on crystalline TaTl2Br at its relaxed geometry.

The value obtained for the uncorrected formation energy is 624 meV/atom. The value obtained for the energy above the lowest structure with this stoichiometry is 559 meV per atom.

Cell lengths 3.202, 5.580, 5.500 Å; angles 90.00, 90.00, 90.00 degrees
Last column: magnetic moment on the atom in μB.
Fractional positions:
Tl 0.000 0.000 0.000  0.01
Tl 0.500 0.500 0.000  -0.02
Br 0.500 0.000 0.500  0.00
Ta 0.000 0.500 0.500  0.81


VASP calculation (PBE) on crystalline AcSc2Pt at its relaxed geometry.

As for the formation energy: -0.534 eV per atom. The value obtained for the energy above the lowest structure with this stoichiometry is 0 meV per atom.

Cell lengths 3.472, 3.472, 8.380 Å; angles 90.00, 90.00, 90.00 degrees
Fractional positions:
Sc 0.000 0.000 0.821
Sc 0.000 0.000 0.179
Ac 0.500 0.500 0.500
Pt 0.500 0.500 0.000


VASP calculation (PBE) on crystalline Tb3Pm2SmDy6 at its relaxed geometry.

As for the formation energy: 0.015 eV per atom.

Cell lengths 6.187, 6.187, 11.817 Å; angles 94.99, 94.99, 119.97 degrees
Fractional positions:
Tb 0.167 0.833 0.500
Tb 0.833 0.167 0.500
Tb 0.500 0.500 0.500
Pm 0.333 0.667 0.000
Pm 0.667 0.333 0.000
Sm 0.000 0.000 0.000
Dy 0.916 0.582 0.748
Dy 0.751 0.751 0.252
Dy 0.084 0.418 0.252
Dy 0.582 0.916 0.748
Dy 0.249 0.249 0.748
Dy 0.418 0.084 0.252


VASP calculation (PBE) on crystalline Y2ZrRe at its relaxed geometry.

As for the formation energy: 0.321 eV per atom. The value obtained for the energy above the lowest structure with this stoichiometry is 289 meV per atom.

Cell lengths 4.855, 3.228, 6.140 Å; angles 73.58, 90.00, 90.00 degrees
Fractional positions:
Re 0.500 0.750 0.750
Y 0.000 0.919 0.982
Y 0.000 0.581 0.518
Zr 0.500 0.250 0.250


VASP calculation (PBE) on crystalline Pm4Bi2Te at its relaxed geometry.

The value obtained for the uncorrected formation energy is -949 meV/atom. The value obtained for the energy above the lowest structure with this stoichiometry is 0 meV per atom.

Cell lengths 8.266, 8.266, 8.266 Å; angles 109.73, 108.95, 109.73 degrees
Fractional positions:
Pm 0.119 0.890 0.374
Pm 0.626 0.745 0.516
Pm 0.979 0.610 0.734
Pm 0.266 0.245 0.876
Pm 0.631 0.755 0.021
Pm 0.771 0.255 0.881
Pm 0.484 0.110 0.229
Pm 0.124 0.390 0.369
Bi 0.875 0.129 0.504
Bi 0.496 0.371 0.625
Bi 0.375 0.871 0.746
Bi 0.254 0.629 0.125
Te 0.000 0.000 0.000
Te 0.750 0.500 0.250


Number 1: size of the total moment 0.00 μB per cell. Number 2: size of the total moment 1.18 μB per cell. Number 3: size of the total moment 0.00 μB per cell. Number 4: size of the total moment 0.00 μB per cell. Number 5: size of the total moment 0.00 μB per cell. Number 6: size of the total moment 0.00 μB per cell.